Record 1
# PBE+U Mn3CrF8, relaxed
# VASP energy: -6.316 eV/atom
# crystal system: orthorhombic
# density of states at the Fermi level: 0.00 states/eV per cell
data_Mn3CrF8
_chemical_formula_sum 'Mn3 Cr1 F8'
_space_group_name_H-M_alt 'P 1'
_space_group_IT_number 1
_cell_length_a 5.912
_cell_length_b 5.912
_cell_length_c 6.339
_cell_angle_alpha 90.00
_cell_angle_beta 90.00
_cell_angle_gamma 122.81
loop_
_space_group_symop_operation_xyz
'x,y,z'
loop_
_atom_site_label
_atom_site_fract_x
_atom_site_fract_y
_atom_site_fract_z
Mn1 0.000 0.000 0.000
Mn2 0.000 0.500 0.745
Mn3 0.500 0.000 0.255
Cr1 0.000 0.000 0.500
F1 0.198 0.271 0.742
F2 0.208 0.792 0.000
F3 0.225 0.775 0.500
F4 0.271 0.198 0.258
F5 0.729 0.802 0.258
F6 0.775 0.225 0.500
F7 0.792 0.208 0.000
F8 0.802 0.729 0.742

Record 2
# PBE+U PmFeO3, relaxed
# VASP energy: -7.346 eV/atom
# crystal system: cubic
data_PmFeO3
_chemical_formula_sum 'Pm1 Fe1 O3'
_space_group_name_H-M_alt 'P 1'
_space_group_IT_number 1
_cell_length_a 3.915
_cell_length_b 3.915
_cell_length_c 3.915
_cell_angle_alpha 90.00
_cell_angle_beta 90.00
_cell_angle_gamma 90.00
loop_
_space_group_symop_operation_xyz
'x,y,z'
loop_
_atom_site_label
_atom_site_fract_x
_atom_site_fract_y
_atom_site_fract_z
Pm1 0.000 0.000 0.000
Fe1 0.500 0.500 0.500
O1 0.000 0.500 0.500
O2 0.500 0.000 0.500
O3 0.500 0.500 0.000